Record 1
V2CrCuBr: relaxed, PBE. Values from VASP.

```
&SYSTEM
  ibrav = 0, nat = 10, ntyp = 4
/
ATOMIC_SPECIES
V 50.94 V.upf
Cu 63.55 Cu.upf
Br 79.90 Br.upf
Cr 52.00 Cr.upf
CELL_PARAMETERS angstrom
-3.753 1.167 -1.013
-1.199 -2.181 1.930
2.742 7.936 10.673
ATOMIC_POSITIONS angstrom
V -0.188 8.081 9.017
V -2.159 3.023 4.645
V 1.685 6.162 8.011
V -0.285 1.103 3.640
Cu -0.787 5.649 8.465
Cu -1.558 2.771 2.164
Br -3.914 0.454 0.651
Br -1.944 5.513 5.023
Cr 1.079 6.154 10.196
Cr 0.308 3.276 3.894
```



Record 2
V2CrCuBr: relaxed, PBE. Values from VASP.

```
&SYSTEM
  ibrav = 0, nat = 10, ntyp = 4
/
ATOMIC_SPECIES
Cu 63.55 Cu.upf
Br 79.90 Br.upf
V 50.94 V.upf
Cr 52.00 Cr.upf
CELL_PARAMETERS angstrom
8.112 0.000 0.007
0.000 3.162 0.000
-4.444 0.000 7.435
ATOMIC_POSITIONS angstrom
Cu 0.871 1.581 6.513
Cu 3.093 0.000 2.795
Br -1.012 0.000 3.178
Br -3.235 1.581 6.895
V 2.923 0.000 6.575
V 3.532 1.581 0.841
V 5.145 1.581 2.857
V 1.310 0.000 4.558
Cr 5.169 0.000 1.052
Cr 2.947 1.581 4.770
```



Record 3
V2CrCuBr: relaxed, PBE. Values from VASP.

```
&SYSTEM
  ibrav = 0, nat = 10, ntyp = 4
/
ATOMIC_SPECIES
Cr 52.00 Cr.upf
Br 79.90 Br.upf
V 50.94 V.upf
Cu 63.55 Cu.upf
CELL_PARAMETERS angstrom
-3.454 5.390 -1.619
-1.381 -0.057 2.758
7.633 0.829 3.840
ATOMIC_POSITIONS angstrom
Cr 0.850 4.132 0.511
Cr 3.975 4.518 3.810
Br -0.793 0.694 1.342
Br 3.714 1.137 1.884
V 1.307 5.464 2.492
V -1.819 5.078 -0.807
V 0.794 2.502 2.175
V 5.301 2.944 2.716
Cu -1.457 3.337 1.064
Cu 3.050 3.779 1.606
```



Record 4
V2CrCuBr: relaxed, PBE. Values from VASP.

```
&SYSTEM
  ibrav = 0, nat = 10, ntyp = 4
/
ATOMIC_SPECIES
Cr 52.00 Cr.upf
Br 79.90 Br.upf
Cu 63.55 Cu.upf
V 50.94 V.upf
CELL_PARAMETERS angstrom
3.463 0.000 0.000
0.000 3.171 0.000
-3.404 0.000 15.861
ATOMIC_POSITIONS angstrom
Cr -1.768 0.000 13.234
Cr -0.066 1.586 5.304
Br -0.089 0.000 0.805
Br -1.791 1.586 8.736
Cu -0.060 0.000 3.283
Cu -1.762 1.586 11.213
V 1.666 0.000 5.260
V -1.768 1.586 15.105
V -0.036 1.586 13.190
V -0.066 0.000 7.175
```



Record 5
V2CrCuBr: relaxed, PBE. Values from VASP.

```
&SYSTEM
  ibrav = 0, nat = 10, ntyp = 4
/
ATOMIC_SPECIES
V 50.94 V.upf
Br 79.90 Br.upf
Cr 52.00 Cr.upf
Cu 63.55 Cu.upf
CELL_PARAMETERS angstrom
-0.631 -2.156 2.076
0.467 -2.209 -2.152
16.701 -0.702 4.346
ATOMIC_POSITIONS angstrom
V 6.166 -0.259 1.605
V 14.750 -1.715 2.702
V 12.931 -1.635 4.485
V 4.814 -2.388 1.236
Br 9.592 -1.498 1.359
Br 1.008 -0.042 0.262
Cr 15.506 -1.743 5.155
Cr 7.389 -2.496 1.906
Cu 12.028 -1.600 1.993
Cu 3.444 -0.145 0.896
```



Record 6
V2CrCuBr: relaxed, PBE. Values from VASP.

```
&SYSTEM
  ibrav = 0, nat = 5, ntyp = 4
/
ATOMIC_SPECIES
V 50.94 V.upf
Cr 52.00 Cr.upf
Br 79.90 Br.upf
Cu 63.55 Cu.upf
CELL_PARAMETERS angstrom
3.248 0.000 0.000
0.000 3.992 0.000
-0.038 0.000 6.467
ATOMIC_POSITIONS angstrom
V 0.840 1.996 3.088
V 0.837 0.000 1.150
Cr 2.454 1.996 1.443
Br 0.811 1.996 5.778
Cu 2.463 0.000 3.078
```



Record 7
V2CrCuBr: relaxed, PBE. Values from VASP.

```
&SYSTEM
  ibrav = 0, nat = 5, ntyp = 4
/
ATOMIC_SPECIES
V 50.94 V.upf
Cr 52.00 Cr.upf
Br 79.90 Br.upf
Cu 63.55 Cu.upf
CELL_PARAMETERS angstrom
4.173 0.000 0.000
-2.087 3.614 0.000
0.000 0.000 5.199
ATOMIC_POSITIONS angstrom
V 2.087 1.205 1.522
V 2.087 1.205 3.677
Cr 0.000 2.409 2.600
Br 0.000 2.409 0.000
Cu 0.000 0.000 2.600
```



Record 8
V2CrCuBr: relaxed, PBE. Values from VASP.

```
&SYSTEM
  ibrav = 0, nat = 10, ntyp = 4
/
ATOMIC_SPECIES
Cr 52.00 Cr.upf
V 50.94 V.upf
Br 79.90 Br.upf
Cu 63.55 Cu.upf
CELL_PARAMETERS angstrom
-1.246 2.680 -0.253
-3.704 -1.776 -0.572
-2.071 0.309 12.454
ATOMIC_POSITIONS angstrom
Cr -3.503 0.332 6.620
Cr -0.616 1.066 0.679
V -0.494 0.187 2.621
V -3.381 -0.547 8.563
V -2.263 2.306 7.494
V -3.079 1.263 0.981
Br -4.160 0.182 11.343
Br -1.273 0.915 5.402
Cu -2.184 1.412 9.761
Cu -3.001 0.370 3.248
```



Result set for Fermi-level density of states: 5.2 4.9 10.0 3.2 9.0 3.1 2.3 4.5 states/eV/cell, one per record in the order listed.
Result set for energy relative to the elements, uncorrected: 0.264 0.383 0.436 0.360 0.281 0.300 0.350 0.336 eV/atom, one per record in the order listed.